# 1
# Cs2MnH12Se2O14 GGA-PBEsol optimized geometry
# Calculated density = 3.10 Mg/m³
# Space-group type = P2_1/c, No. 14
# Calculated total energy = -5.396 eV/atom
data_Cs2MnH12Se2O14
_chemical_formula_sum 'Cs4 Mn2 H24 Se4 O28'
_space_group_name_H-M_alt 'P 1'
_space_group_IT_number 1
_cell_length_a 6.485
_cell_length_b 9.450
_cell_length_c 12.960
_cell_angle_alpha 90.00
_cell_angle_beta 90.00
_cell_angle_gamma 105.41
loop_
_space_group_symop_operation_xyz
'x,y,z'
loop_
_atom_site_label
_atom_site_type_symbol
_atom_site_fract_x
_atom_site_fract_y
_atom_site_fract_z
H1 H 0.180 0.789 0.097
O1 O 0.089 0.259 0.927
O2 O 0.666 0.163 0.887
H2 H 0.839 0.898 0.063
Se1 Se 0.236 0.899 0.643
O3 O 0.207 0.010 0.933
H3 H 0.820 0.711 0.597
O4 O 0.505 0.823 0.888
H4 H 0.518 0.157 0.186
H5 H 0.593 0.240 0.869
H6 H 0.839 0.398 0.437
H7 H 0.820 0.211 0.903
Se2 Se 0.236 0.399 0.857
H8 H 0.407 0.760 0.131
O5 O 0.292 0.047 0.569
O6 O 0.911 0.241 0.427
O7 O 0.793 0.990 0.067
H9 H 0.482 0.343 0.686
H10 H 0.161 0.602 0.563
H11 H 0.482 0.843 0.814
O8 O 0.540 0.639 0.184
H12 H 0.583 0.279 0.097
H13 H 0.180 0.477 0.641
O9 O 0.911 0.741 0.073
O10 O 0.089 0.759 0.573
H14 H 0.820 0.023 0.141
Cs1 Cs 0.157 0.865 0.350
Cs2 Cs 0.843 0.635 0.850
H15 H 0.180 0.289 0.403
H16 H 0.161 0.102 0.937
O11 O 0.460 0.361 0.816
O12 O 0.292 0.547 0.931
O13 O 0.089 0.422 0.756
O14 O 0.666 0.663 0.613
H17 H 0.583 0.779 0.403
O15 O 0.495 0.177 0.112
Cs3 Cs 0.843 0.135 0.650
O16 O 0.793 0.490 0.433
O17 O 0.089 0.922 0.744
H18 H 0.180 0.977 0.859
O18 O 0.334 0.837 0.113
Se3 Se 0.764 0.601 0.143
O19 O 0.460 0.861 0.684
Mn1 Mn 0.500 0.500 0.500
Mn2 Mn 0.500 0.000 0.000
H19 H 0.417 0.221 0.597
H20 H 0.417 0.721 0.903
O20 O 0.911 0.578 0.244
H21 H 0.593 0.740 0.631
O21 O 0.708 0.953 0.431
O22 O 0.207 0.510 0.567
O23 O 0.911 0.078 0.256
O24 O 0.540 0.139 0.316
O25 O 0.505 0.323 0.612
H22 H 0.518 0.657 0.314
H23 H 0.407 0.260 0.369
O26 O 0.495 0.677 0.388
O27 O 0.334 0.337 0.387
Cs4 Cs 0.157 0.365 0.150
Se4 Se 0.764 0.101 0.357
H24 H 0.820 0.523 0.359
O28 O 0.708 0.453 0.069

# 2
# YTi3Mo GGA-PBEsol optimized geometry
# Energy of formation from the pure elements = 1.76 eV per atom
# Calculated density = 5.77 Mg/m³
# Space-group type = Pm-3m, No. 221
# DOS at the Fermi energy = 6.43 states/eV/f.u.
data_YTi3Mo
_chemical_formula_sum 'Y1 Ti3 Mo1'
_space_group_name_H-M_alt 'P 1'
_space_group_IT_number 1
_cell_length_a 4.556
_cell_length_b 4.556
_cell_length_c 4.556
_cell_angle_alpha 90.00
_cell_angle_beta 90.00
_cell_angle_gamma 90.00
loop_
_space_group_symop_operation_xyz
'x,y,z'
loop_
_atom_site_label
_atom_site_type_symbol
_atom_site_fract_x
_atom_site_fract_y
_atom_site_fract_z
Mo1 Mo 0.500 0.500 0.500
Ti1 Ti 0.000 0.000 0.500
Ti2 Ti 0.000 0.500 0.000
Ti3 Ti 0.500 0.000 0.000
Y1 Y 0.000 0.000 0.000

# 3
# Ca2FeNi GGA-PBEsol optimized geometry
# Energy of formation from the pure elements = 0.43 eV per atom
# Calculated density = 4.06 Mg/m³
# Space-group type = P4/mmm, No. 123
# ΔE to the lowest computed polymorph = 167.4 meV per atom
# DOS at the Fermi energy = 3.59 states/eV/f.u.
data_Ca2FeNi
_chemical_formula_sum 'Ca2 Fe1 Ni1'
_space_group_name_H-M_alt 'P 1'
_space_group_IT_number 1
_cell_length_a 3.335
_cell_length_b 3.335
_cell_length_c 7.166
_cell_angle_alpha 90.00
_cell_angle_beta 90.00
_cell_angle_gamma 90.00
loop_
_space_group_symop_operation_xyz
'x,y,z'
loop_
_atom_site_label
_atom_site_type_symbol
_atom_site_fract_x
_atom_site_fract_y
_atom_site_fract_z
Fe1 Fe 0.500 0.500 0.000
Ca1 Ca 0.000 0.000 0.733
Ni1 Ni 0.500 0.500 0.500
Ca2 Ca 0.000 0.000 0.267

# 4
# CuRe2Os GGA-PBEsol optimized geometry
# Energy of formation from the pure elements = 0.32 eV per atom
# Calculated density = 18.91 Mg/m³
# Space-group type = I4/mmm, No. 139
# ΔE to the lowest computed polymorph = 0.0 meV per atom
# DOS at the Fermi energy = 4.52 states/eV/f.u.
data_CuRe2Os
_chemical_formula_sum 'Cu1 Re2 Os1'
_space_group_name_H-M_alt 'P 1'
_space_group_IT_number 1
_cell_length_a 3.720
_cell_length_b 3.720
_cell_length_c 4.765
_cell_angle_alpha 112.98
_cell_angle_beta 112.98
_cell_angle_gamma 90.00
loop_
_space_group_symop_operation_xyz
'x,y,z'
loop_
_atom_site_label
_atom_site_type_symbol
_atom_site_fract_x
_atom_site_fract_y
_atom_site_fract_z
Cu1 Cu 0.500 0.500 0.000
Re1 Re 0.750 0.250 0.500
Os1 Os 0.000 0.000 0.000
Re2 Re 0.250 0.750 0.500

# 5
# AlMo3S GGA-PBEsol optimized geometry
# Calculated density = 6.24 Mg/m³
# Space-group type = Pm-3m, No. 221
# DOS at the Fermi energy = 6.88 states/eV/f.u.
# ΔE_f (raw) = 9.60 eV per formula unit
data_AlMo3S
_chemical_formula_sum 'Al1 Mo3 S1'
_space_group_name_H-M_alt 'P 1'
_space_group_IT_number 1
_cell_length_a 4.518
_cell_length_b 4.518
_cell_length_c 4.518
_cell_angle_alpha 90.00
_cell_angle_beta 90.00
_cell_angle_gamma 90.00
loop_
_space_group_symop_operation_xyz
'x,y,z'
loop_
_atom_site_label
_atom_site_type_symbol
_atom_site_fract_x
_atom_site_fract_y
_atom_site_fract_z
Mo1 Mo 0.000 0.500 0.000
Al1 Al 0.000 0.000 0.000
S1 S 0.500 0.500 0.500
Mo2 Mo 0.000 0.000 0.500
Mo3 Mo 0.500 0.000 0.000

# 6
# CaAl2O4 GGA-PBEsol optimized geometry
# Calculated density = 3.01 Mg/m³
# Space-group type = P2_1/c, No. 14
# ΔE to the lowest computed polymorph = 42.7 meV per atom
# DOS at the Fermi energy = 0.00 states/eV/f.u.
# ΔE_f (raw) = -21.42 eV per formula unit
data_CaAl2O4
_chemical_formula_sum 'Ca8 Al16 O32'
_space_group_name_H-M_alt 'P 1'
_space_group_IT_number 1
_cell_length_a 7.903
_cell_length_b 8.603
_cell_length_c 10.298
_cell_angle_alpha 90.00
_cell_angle_beta 94.97
_cell_angle_gamma 90.00
loop_
_space_group_symop_operation_xyz
'x,y,z'
loop_
_atom_site_label
_atom_site_type_symbol
_atom_site_fract_x
_atom_site_fract_y
_atom_site_fract_z
O1 O 0.212 0.566 0.040
O2 O 0.023 0.482 0.330
O3 O 0.768 0.245 0.209
O4 O 0.727 0.079 0.962
O5 O 0.768 0.255 0.709
Al1 Al 0.708 0.892 0.383
O6 O 0.512 0.656 0.942
Al2 Al 0.303 0.904 0.391
O7 O 0.149 0.242 0.072
O8 O 0.281 0.078 0.299
Ca1 Ca 0.464 0.740 0.146
O9 O 0.355 0.435 0.282
O10 O 0.149 0.258 0.572
Ca2 Ca 0.464 0.760 0.646
Al3 Al 0.822 0.555 0.361
O11 O 0.977 0.982 0.170
Al4 Al 0.772 0.059 0.131
Ca3 Ca 0.001 0.214 0.372
O12 O 0.512 0.844 0.442
O13 O 0.788 0.434 0.960
O14 O 0.273 0.921 0.038
Al5 Al 0.292 0.108 0.617
Al6 Al 0.697 0.404 0.109
O15 O 0.355 0.065 0.782
O16 O 0.281 0.422 0.799
O17 O 0.851 0.742 0.428
Al7 Al 0.822 0.945 0.861
O18 O 0.212 0.934 0.540
O19 O 0.645 0.935 0.218
O20 O 0.719 0.922 0.701
Al8 Al 0.303 0.596 0.891
Al9 Al 0.178 0.055 0.139
Al10 Al 0.697 0.096 0.609
O21 O 0.232 0.755 0.791
Al11 Al 0.292 0.392 0.117
Al12 Al 0.228 0.941 0.869
O22 O 0.232 0.745 0.291
O23 O 0.851 0.758 0.928
Al13 Al 0.228 0.559 0.369
Ca4 Ca 0.001 0.286 0.872
O24 O 0.719 0.578 0.201
O25 O 0.273 0.579 0.538
O26 O 0.645 0.565 0.718
Al14 Al 0.708 0.608 0.883
O27 O 0.788 0.066 0.460
Ca5 Ca 0.536 0.240 0.354
Al15 Al 0.772 0.441 0.631
Al16 Al 0.178 0.445 0.639
Ca6 Ca 0.536 0.260 0.854
O28 O 0.023 0.018 0.830
Ca7 Ca 0.999 0.786 0.628
Ca8 Ca 0.999 0.714 0.128
O29 O 0.488 0.344 0.058
O30 O 0.727 0.421 0.462
O31 O 0.488 0.156 0.558
O32 O 0.977 0.518 0.670

# 7
# Cd2HgI2 GGA-PBEsol optimized geometry
# Calculated density = 6.07 Mg/m³
# Space-group type = I4/mmm, No. 139
# ΔE to the lowest computed polymorph = 233.8 meV per atom
# DOS at the Fermi energy = 2.22 states/eV/f.u.
# ΔE_f (raw) = 0.26 eV per formula unit
data_Cd2HgI2
_chemical_formula_sum 'Cd2 Hg1 I2'
_space_group_name_H-M_alt 'P 1'
_space_group_IT_number 1
_cell_length_a 5.702
_cell_length_b 5.702
_cell_length_c 6.996
_cell_angle_alpha 114.05
_cell_angle_beta 114.05
_cell_angle_gamma 90.00
loop_
_space_group_symop_operation_xyz
'x,y,z'
loop_
_atom_site_label
_atom_site_type_symbol
_atom_site_fract_x
_atom_site_fract_y
_atom_site_fract_z
Cd1 Cd 0.250 0.750 0.500
I1 I 0.664 0.664 0.329
Hg1 Hg 0.000 0.000 0.000
Cd2 Cd 0.750 0.250 0.500
I2 I 0.336 0.336 0.671

# 8
# SiHgTe2 GGA-PBEsol optimized geometry
# Calculated density = 8.39 Mg/m³
# Space-group type = Pmmm, No. 47
# ΔE to the lowest computed polymorph = 398.7 meV per atom
# DOS at the Fermi energy = 2.06 states/eV/f.u.
# ΔE_f (raw) = 1.63 eV per formula unit
data_SiHgTe2
_chemical_formula_sum 'Si1 Hg1 Te2'
_space_group_name_H-M_alt 'P 1'
_space_group_IT_number 1
_cell_length_a 3.647
_cell_length_b 5.130
_cell_length_c 5.119
_cell_angle_alpha 90.00
_cell_angle_beta 90.00
_cell_angle_gamma 90.00
loop_
_space_group_symop_operation_xyz
'x,y,z'
loop_
_atom_site_label
_atom_site_type_symbol
_atom_site_fract_x
_atom_site_fract_y
_atom_site_fract_z
Te1 Te 0.000 0.000 0.000
Te2 Te 0.500 0.500 0.000
Si1 Si 0.000 0.500 0.500
Hg1 Hg 0.500 0.000 0.500